one.
## Hf2MgTl2 (PBE-GGA)

Data for a relaxed Hf2MgTl2 crystal.

Lattice parameters (Å, degrees): 7.415 7.415 4.167 90.00 90.00 90.00
Fractional positions:
1 Hf 0.170 0.330 0.000
2 Hf 0.330 0.830 0.000
3 Hf 0.670 0.170 0.000
4 Hf 0.830 0.670 0.000
5 Mg 0.000 0.000 0.500
6 Mg 0.500 0.500 0.500
7 Tl 0.137 0.637 0.500
8 Tl 0.363 0.137 0.500
9 Tl 0.637 0.863 0.500
10 Tl 0.863 0.363 0.500

Computed properties:
As for the space group: P4/mbm (127). As for the density: 11.45 Mg/m³. The value obtained for the size of the total moment is 0.0 μB/cell. Its crystal system is tetragonal.

two.
## Hf2MgTl2 (PBE-GGA)

Data for a relaxed Hf2MgTl2 crystal.

Lattice parameters (Å, degrees): 8.627 8.627 3.290 90.00 90.00 90.00
Fractional positions:
1 Hf 0.123 0.377 0.000
2 Hf 0.377 0.877 0.000
3 Hf 0.623 0.123 0.000
4 Hf 0.877 0.623 0.000
5 Mg 0.000 0.000 0.000
6 Mg 0.500 0.500 0.000
7 Tl 0.177 0.677 0.500
8 Tl 0.323 0.177 0.500
9 Tl 0.677 0.823 0.500
10 Tl 0.823 0.323 0.500

Computed properties:
As for the space group: P4/mbm (127). As for the density: 10.72 Mg/m³. The value obtained for the size of the total moment is 0.0 μB/cell. Its crystal system is tetragonal.

Q: Which of them is the least stable? A: two.

one.
## Tm2HfMg (PBE-GGA)

Data for a relaxed Tm2HfMg crystal.

Lattice parameters (Å, degrees): 11.136 11.136 11.136 17.24 17.24 17.24
Fractional positions:
1 Tm 0.000 0.000 0.000
2 Tm 0.175 0.175 0.175
3 Hf 0.587 0.587 0.587
4 Mg 0.754 0.754 0.754

Computed properties:
As for the space group: R3m (160). As for the density: 8.49 Mg/m³. The value obtained for the size of the total moment is 0.0 μB/cell. Its crystal system is trigonal.

two.
## Tm2HfMg (PBE-GGA)

Data for a relaxed Tm2HfMg crystal.

Lattice parameters (Å, degrees): 11.095 11.095 11.095 17.34 17.34 17.34
Fractional positions:
1 Tm 0.246 0.246 0.246
2 Tm 0.754 0.754 0.754
3 Hf 0.500 0.500 0.500
4 Mg 0.000 0.000 0.000

Computed properties:
As for the space group: R-3m (166). As for the density: 8.48 Mg/m³. The value obtained for the size of the total moment is 0.0 μB/cell. Its crystal system is trigonal.

Q: Which of them is the least stable? A: one.